Compound: TcIr
Source: OQMD via LeMat-Bulk
Functional: PBE
Structure: relaxed

Lattice parameters (Å, degrees): 3.619 3.619 3.619 60.00 60.00 60.00
Fractional coordinates of all 2 atoms:
Ir1 0.000 0.000 0.000
Tc1 0.500 0.500 0.500

Properties
Space-group type: Fm-3m
Magnetic moment, μB/atom: 0.005
DFT formation energy, meV per atom: 984